No. 1
A plane-wave DFT calculation with PBE-GGA was carried out for crystalline TbDy3Er at its relaxed geometry.

It has space group P-1 (No. 2), with a = 6.240 Å, b = 6.676 Å, c = 9.147 Å, α = 72.23°, β = 89.99° and γ = 62.18°. The inequivalent atoms are Tb at (0.033, 0.101, 0.150), Dy at (0.167, 0.499, 0.250), Dy at (0.233, 0.700, 0.549), Dy at (0.434, 0.299, 0.949) and Er at (0.366, 0.099, 0.650).

The value obtained for the mass density is 8.5 Mg/m³. The calculated formation energy is 0.008 eV per atom. As for the magnetic moment: 0.0 μB/cell.



No. 2
A plane-wave DFT calculation with PBE-GGA was carried out for crystalline BaPdS at its relaxed geometry.

It has space group P1 (No. 1), with a = 4.324 Å, b = 4.502 Å, c = 7.763 Å, α = 92.60°, β = 90.04° and γ = 90.01°. The inequivalent atoms are Ba at (0.000, 0.000, 0.000), Ba at (0.001, 0.575, 0.507), Pd at (0.500, 0.459, 0.872), Pd at (0.501, 0.067, 0.325), S at (0.500, 0.560, 0.178) and S at (0.502, 0.088, 0.646).

The value obtained for the mass density is 6.1 Mg/m³. As for the uncorrected formation energy: -1.208 eV/atom. As for the magnetic moment: 0.0 μB/cell.